Compound: Lu2NbHg
Source: Alexandria
Functional: PBE
Structure: optimized geometry

Values from the calculation:
Crystal system   tetragonal

abc: 3.3439 3.3439 8.3769
angles: 90.00 90.00 90.00
Space group P4/mmm (No. 123)
Asymmetric unit:
Lu1 0.0000 0.0000 0.2452 (multiplicity 2)
Nb1 0.5000 0.5000 0.0000 (multiplicity 1)
Hg1 0.5000 0.5000 0.5000 (multiplicity 1)



Compound: NdLu2Hg
Source: Alexandria
Functional: PBE
Structure: optimized geometry

Values from the calculation:
Crystal system   tetragonal

abc: 4.8135 4.8135 4.7728
angles: 90.00 90.00 90.00
Space group P4/mmm (No. 123)
Asymmetric unit:
Nd1 0.0000 0.0000 0.0000 (multiplicity 1)
Lu1 0.0000 0.5000 0.5000 (multiplicity 2)
Hg1 0.5000 0.5000 0.0000 (multiplicity 1)



Number 1: uncorrected energy -4.948 eV/atom. Number 2: uncorrected energy -3.674 eV/atom.